(1)
Compound: Pr2Nd2SmEr2
Source: Alexandria via LeMat-Bulk
Functional: GGA-PBE
Structure: optimized geometry

The calculated formation energy comes out at 0.0204 eV per atom. Its density is 7.37 g/cm³. Its crystal system is monoclinic. The space group is No. 12. The calculation puts the total energy at -32.8 eV for the cell shown.

Cell lengths 5.1377, 6.2908, 8.1354 Å; angles 97.43, 90.00, 114.10 degrees
Positions (direct):
1 Sm 0.0000 0.0000 0.0000
2 Pr 0.1435 0.2870 0.4282
3 Nd 0.5711 0.1423 0.7198
4 Pr 0.8565 0.7130 0.5718
5 Er 0.7152 0.4305 0.1395
6 Nd 0.4289 0.8577 0.2802
7 Er 0.2848 0.5695 0.8605

(2)
Compound: CaCd2Br
Source: Alexandria via LeMat-Bulk
Functional: GGA-PBE
Structure: optimized geometry

Its density is 4.42 g/cm³. For the energy above the most stable polymorph in this dataset, the calculation gives 45 meV/atom. Its crystal system is monoclinic. The space group is No. 6. The calculation puts the total energy at -8.0 eV for the cell shown. The formation energy (no corrections) comes out at -2.5 eV per formula unit.

Cell lengths 4.0779, 4.0871, 8.1694 Å; angles 72.14, 90.00, 90.00 degrees
Positions (direct):
1 Br 0.0000 0.5466 0.5954
2 Cd 0.5000 0.2455 0.0855
3 Cd 0.0000 0.7470 0.0827
4 Ca 0.5000 0.9609 0.7364

(3)
Compound: MgMo5
Source: Alexandria via LeMat-Bulk
Functional: GGA-PBE
Structure: optimized geometry

The calculated formation energy comes out at 0.4662 eV per atom. Its density is 7.64 g/cm³. For the energy above the most stable polymorph in this dataset, the calculation gives 257 meV/atom. Its crystal system is hexagonal. The space group is No. 191. The calculation puts the total energy at -53.0 eV for the cell shown.

Cell lengths 5.3696, 5.3696, 4.3881 Å; angles 90.00, 90.00, 120.00 degrees
Positions (direct):
1 Mo 0.0000 0.5000 0.5000
2 Mo 0.5000 0.0000 0.5000
3 Mo 0.5000 0.5000 0.5000
4 Mg 0.0000 0.0000 0.0000
5 Mo 0.3333 0.6667 0.0000
6 Mo 0.6667 0.3333 0.0000

(4)
Compound: UHg3
Source: Alexandria via LeMat-Bulk
Functional: GGA-PBE
Structure: optimized geometry

The calculated formation energy comes out at 0.1842 eV per atom. Its density is 14.13 g/cm³. Its crystal system is orthorhombic. The space group is No. 63. The calculation puts the total energy at -22.9 eV for the cell shown.

Cell lengths 4.9053, 6.6167, 6.6162 Å; angles 113.24, 90.00, 90.00 degrees
Positions (direct):
1 U 0.7500 0.3678 0.6319
2 U 0.2500 0.6322 0.3681
3 Hg 0.2500 0.6794 0.8762
4 Hg 0.2500 0.1754 0.8243
5 Hg 0.7500 0.3206 0.1238
6 Hg 0.7500 0.8246 0.1757
7 Hg 0.2500 0.1239 0.3200
8 Hg 0.7500 0.8761 0.6800